(1)
Material: SrSc2P
Method: DFT, PBE-GGA
State: relaxed

Calculated values
- formation enthalpy at 0 K (eV/atom) = -0.427

a b c (Å): 3.516 3.961 15.804
angles (deg): 90.00 90.00 90.00
Fractional positions:
Sr (0.000, 0.000, 0.000)
Sr (0.500, 0.500, 0.500)
Sc (0.000, 0.000, 0.671)
Sc (0.000, 0.500, 0.818)
Sc (0.500, 0.000, 0.318)
Sc (0.500, 0.500, 0.171)
P (0.000, 0.500, 0.312)
P (0.500, 0.000, 0.812)

(2)
Material: SrSc2P
Method: DFT, PBE-GGA
State: relaxed

Calculated values
- formation enthalpy at 0 K (eV/atom) = -0.403

a b c (Å): 4.268 5.423 9.135
angles (deg): 90.00 90.00 90.00
Fractional positions:
Sr (0.000, 0.000, 0.000)
Sr (0.500, 0.500, 0.000)
Sc (0.000, 0.500, 0.334)
Sc (0.000, 0.500, 0.666)
Sc (0.500, 0.000, 0.334)
Sc (0.500, 0.000, 0.666)
P (0.000, 0.000, 0.500)
P (0.500, 0.500, 0.500)

(3)
Material: SrScP2
Method: DFT, PBE-GGA
State: relaxed

Calculated values
- distance to the lowest polymorph of the same formula (meV per atom) = 202
- formation enthalpy at 0 K (eV/atom) = -0.870

a b c (Å): 3.489 3.559 7.190
angles (deg): 90.00 101.53 90.00
Fractional positions:
Sr (0.000, 0.000, 0.000)
Sc (0.000, 0.000, 0.500)
P (0.445, 0.500, 0.715)
P (0.555, 0.500, 0.285)

(4)
Material: SrScP2
Method: DFT, PBE-GGA
State: relaxed

Calculated values
- distance to the lowest polymorph of the same formula (meV per atom) = 208
- formation enthalpy at 0 K (eV/atom) = -0.864

a b c (Å): 3.404 3.744 14.692
angles (deg): 90.00 90.00 90.00
Fractional positions:
Sr (0.000, 0.000, 0.000)
Sr (0.500, 0.500, 0.500)
Sc (0.000, 0.500, 0.251)
Sc (0.500, 0.000, 0.751)
P (0.000, 0.000, 0.383)
P (0.000, 0.500, 0.676)
P (0.500, 0.000, 0.176)
P (0.500, 0.500, 0.883)

Q: Look up the formation enthalpy at 0 K of the third one.
A: -0.870 eV/atom

Q: Number 1 is which compound?
A: SrSc2P

Q: Among the records above, which one has the highest formation enthalpy at 0 K?
A: number 2